(1)
Density functional theory data (PBE-GGA) for a geometry-optimized RePtAu3 structure.

The structure in extended XYZ format:
```
5
Lattice="4.9567 0.0000 0.0000 0.0000 4.9567 0.0000 0.0000 0.0000 4.9567" Properties=species:S:1:pos:R:3 pbc="T T T"
Re 0.0000 0.0000 0.0000
Pt 2.4783 2.4783 2.4783
Au 0.0000 0.0000 2.4783
Au 0.0000 2.4783 0.0000
Au 2.4783 0.0000 0.0000
```

Values from the calculation:
V (Å³ per cell): 122
SG: Pm-3m
E (eV/atom): -3.96
Size of the total moment (μB per cell): 0.0
Energy above the most stable polymorph in this dataset (eV per atom): 0.006
Formation enthalpy at 0 K (meV per atom): 1709

***

(2)
Density functional theory data (PBE-GGA) for a geometry-optimized RePt2Au structure.

The structure in extended XYZ format:
```
4
Lattice="-1.9867 1.9867 3.9974 1.9867 -1.9867 3.9974 1.9867 1.9867 -3.9974" Properties=species:S:1:pos:R:3 pbc="T T T"
Re 0.0000 0.0000 0.0000
Pt 1.9867 0.0000 1.9987
Pt 0.0000 1.9867 1.9987
Au 0.0000 0.0000 3.9974
```

Values from the calculation:
V (Å³ per cell): 63
SG: I4/mmm
E (eV/atom): -6.76
Size of the total moment (μB per cell): 0.0
Energy above the most stable polymorph in this dataset (eV per atom): 0.291
Formation enthalpy at 0 K (meV per atom): 197

***

(3)
Density functional theory data (PBE-GGA) for a geometry-optimized RePt2Au structure.

The structure in extended XYZ format:
```
4
Lattice="-1.9950 1.9950 3.9746 1.9950 -1.9950 3.9746 1.9950 1.9950 -3.9746" Properties=species:S:1:pos:R:3 pbc="T T T"
Re 0.0000 0.0000 0.0000
Pt 0.0000 0.0000 3.9746
Pt 0.0000 1.9950 1.9873
Au 1.9950 0.0000 1.9873
```

Values from the calculation:
V (Å³ per cell): 63
SG: I-4m2
E (eV/atom): -6.71
Size of the total moment (μB per cell): 0.0
Energy above the most stable polymorph in this dataset (eV per atom): 0.336
Formation enthalpy at 0 K (meV per atom): 242

***

(4)
Density functional theory data (PBE-GGA) for a geometry-optimized RePt2Au structure.

The structure in extended XYZ format:
```
4
Lattice="1.4102 0.8142 9.2801 -1.4102 0.8142 9.2801 0.0000 -1.6283 9.2801" Properties=species:S:1:pos:R:3 pbc="T T T"
Re 0.0000 0.0000 0.0000
Pt 0.0000 0.0000 7.0953
Pt 0.0000 0.0000 20.7451
Au 0.0000 0.0000 13.9202
```

Values from the calculation:
V (Å³ per cell): 64
SG: R-3m
E (eV/atom): -6.96
Size of the total moment (μB per cell): 0.0
Energy above the most stable polymorph in this dataset (eV per atom): 0.088
Formation enthalpy at 0 K (meV per atom): -6

***

(5)
Density functional theory data (PBE-GGA) for a geometry-optimized RePt2Au structure.

The structure in extended XYZ format:
```
4
Lattice="2.8145 -4.0705 0.0000 2.8145 4.0705 0.0000 0.0000 0.0000 2.7694" Properties=species:S:1:pos:R:3 pbc="T T T"
Re 0.0000 0.0000 0.0000
Pt 1.4072 2.0352 1.3847
Pt 1.4072 -2.0352 1.3847
Au 2.8145 0.0000 0.0000
```

Values from the calculation:
V (Å³ per cell): 63
SG: Cmmm
E (eV/atom): -6.77
Size of the total moment (μB per cell): 0.0
Energy above the most stable polymorph in this dataset (eV per atom): 0.278
Formation enthalpy at 0 K (meV per atom): 184

***

(6)
Density functional theory data (PBE-GGA) for a geometry-optimized RePt2Au structure.

The structure in extended XYZ format:
```
4
Lattice="4.8598 0.0000 0.0000 0.0000 4.8598 0.0000 0.0000 0.0000 2.7580" Properties=species:S:1:pos:R:3 pbc="T T T"
Re 0.0000 0.0000 0.0000
Pt 0.0000 2.4299 1.3790
Pt 2.4299 0.0000 1.3790
Au 2.4299 2.4299 0.0000
```

Values from the calculation:
V (Å³ per cell): 65
SG: P4/mmm
E (eV/atom): -6.66
Size of the total moment (μB per cell): 0.9
Energy above the most stable polymorph in this dataset (eV per atom): 0.386
Formation enthalpy at 0 K (meV per atom): 292

***

(7)
Density functional theory data (PBE-GGA) for a geometry-optimized RePt2Au structure.

The structure in extended XYZ format:
```
4
Lattice="0.0000 3.1914 3.1914 3.1914 0.0000 3.1914 3.1914 3.1914 0.0000" Properties=species:S:1:pos:R:3 pbc="T T T"
Re 0.0000 0.0000 0.0000
Pt 1.5957 1.5957 1.5957
Pt 4.7872 4.7872 4.7872
Au 3.1914 3.1914 3.1914
```

Values from the calculation:
V (Å³ per cell): 65
SG: Fm-3m
E (eV/atom): -6.56
Size of the total moment (μB per cell): 1.5
Energy above the most stable polymorph in this dataset (eV per atom): 0.481
Formation enthalpy at 0 K (meV per atom): 387

***

(8)
Density functional theory data (PBE-GGA) for a geometry-optimized RePt2Au structure.

The structure in extended XYZ format:
```
8
Lattice="-3.6004 3.6004 2.7486 3.6004 -3.6004 2.7486 3.6004 3.6004 -2.7486" Properties=species:S:1:pos:R:3 pbc="T T T"
Re 0.0000 0.0000 0.0000
Re 0.0000 3.6004 1.3743
Pt 5.4006 1.6202 -0.6872
Pt 1.6202 1.8002 0.6872
Pt -1.8002 1.9802 2.0615
Pt 1.9802 1.8002 3.4358
Au 3.6004 0.0000 1.3743
Au 0.0000 0.0000 2.7486
```

Values from the calculation:
V (Å³ per cell): 143
SG: I-42d
E (eV/atom): -6.36
Size of the total moment (μB per cell): 1.8
Energy above the most stable polymorph in this dataset (eV per atom): 0.688
Formation enthalpy at 0 K (meV per atom): 593

***

(9)
Density functional theory data (PBE-GGA) for a geometry-optimized RePt2Au structure.

The structure in extended XYZ format:
```
4
Lattice="2.7409 0.0000 0.0000 0.0000 4.8558 0.0000 0.0000 0.0000 4.8946" Properties=species:S:1:pos:R:3 pbc="T T T"
Re 0.0000 0.0000 0.0000
Pt 0.0000 2.4279 2.4473
Pt 1.3704 2.4279 0.0000
Au 1.3704 0.0000 2.4473
```

Values from the calculation:
V (Å³ per cell): 65
SG: Pmmm
E (eV/atom): -6.57
Size of the total moment (μB per cell): 1.1
Energy above the most stable polymorph in this dataset (eV per atom): 0.480
Formation enthalpy at 0 K (meV per atom): 385

***

(10)
Density functional theory data (PBE-GGA) for a geometry-optimized Re4PtAu structure.

The structure in extended XYZ format:
```
6
Lattice="0.0000 3.6723 3.6723 3.6723 0.0000 3.6723 3.6723 3.6723 0.0000" Properties=species:S:1:pos:R:3 pbc="T T T"
Re 0.9199 0.9199 0.9199
Re 2.7524 2.7524 0.9199
Re 2.7524 0.9199 2.7524
Re 0.9199 2.7524 2.7524
Pt 3.6723 3.6723 3.6723
Au 5.5085 5.5085 5.5085
```

Values from the calculation:
V (Å³ per cell): 99
SG: F-43m
E (eV/atom): -9.22
Size of the total moment (μB per cell): 0.0
Formation enthalpy at 0 K (meV per atom): 633

***

(11)
Density functional theory data (PBE-GGA) for a geometry-optimized RePtAu structure.

The structure in extended XYZ format:
```
3
Lattice="0.0000 3.0316 3.0316 3.0316 0.0000 3.0316 3.0316 3.0316 0.0000" Properties=species:S:1:pos:R:3 pbc="T T T"
Re 0.0000 0.0000 0.0000
Pt 4.5474 4.5474 4.5474
Au 3.0316 3.0316 3.0316
```

Values from the calculation:
V (Å³ per cell): 56
SG: F-43m
E (eV/atom): -6.59
Size of the total moment (μB per cell): 0.0
Energy above the most stable polymorph in this dataset (eV per atom): 0.711
Formation enthalpy at 0 K (meV per atom): 667

***

(12)
Density functional theory data (PBE-GGA) for a geometry-optimized Re3PtAu structure.

The structure in extended XYZ format:
```
5
Lattice="4.7381 0.0000 0.0000 0.0000 4.7381 0.0000 0.0000 0.0000 4.7381" Properties=species:S:1:pos:R:3 pbc="T T T"
Re 0.0000 0.0000 2.3690
Re 0.0000 2.3690 0.0000
Re 2.3690 0.0000 0.0000
Pt 0.0000 0.0000 0.0000
Au 2.3690 2.3690 2.3690
```

Values from the calculation:
V (Å³ per cell): 106
SG: Pm-3m
E (eV/atom): -6.86
Size of the total moment (μB per cell): 1.4
Energy above the most stable polymorph in this dataset (eV per atom): 0.000
Formation enthalpy at 0 K (meV per atom): 2475